SmFe3C4O12 PBE+U optimized geometry; calculated density = 4.2 g cm⁻³; DFT total energy = -149.541 eV per cell; magnetization = 10.985 μB per cell
1.0
-4.487 -0.789 4.258
4.391 -3.993 1.912
2.415 5.524 1.594
Sm Fe C O
1 3 4 12
Cartesian
0.000 0.000 0.000
-0.397 -2.266 3.177
-0.765 2.615 2.821
3.481 0.391 1.766
-2.919 1.842 4.959
4.330 3.271 2.659
2.067 -4.001 4.028
1.159 0.371 3.882
0.895 1.643 3.840
-1.649 -2.198 4.966
4.772 -0.933 2.928
0.355 4.243 3.753
3.023 -3.163 3.714
3.155 3.726 3.017
-2.659 0.562 5.055
0.853 -3.594 4.302
4.601 1.990 2.649
-2.018 2.703 4.558
0.237 -0.473 4.238
2.346 -0.058 3.569